(1)
The following is a GGA-PBE calculation of SrPuBi2 after structural relaxation, from Alexandria via LeMat-Bulk.

Cell: 8.0994 8.0994 8.0994 Å, 33.73 33.73 33.73°
Fractional positions:
Sr  0.0000  0.0000  0.0000
Pu  0.5000  0.5000  0.5000
Bi  0.2403  0.2403  0.2403
Bi  0.7597  0.7597  0.7597

Distance to the lowest polymorph of the same formula (eV/atom): 0.000


(2)
The following is a GGA-PBE calculation of SrPuBi6 after structural relaxation, from Alexandria via LeMat-Bulk.

Cell: 5.0101 5.0101 10.0022 Å, 90.00 90.00 90.00°
Fractional positions:
Sr  0.0000  0.0000  0.0000
Pu  0.0000  0.0000  0.5000
Bi  0.0000  0.5000  0.2588
Bi  0.0000  0.5000  0.7412
Bi  0.5000  0.0000  0.2588
Bi  0.5000  0.0000  0.7412
Bi  0.5000  0.5000  0.0000
Bi  0.5000  0.5000  0.5000


(3)
The following is a GGA-PBE calculation of SrPuBi2 after structural relaxation, from Alexandria via LeMat-Bulk.

Cell: 8.2557 8.2557 8.2557 Å, 32.98 32.98 32.98°
Fractional positions:
Sr  0.0000  0.0000  0.0000
Pu  0.1714  0.1714  0.1714
Bi  0.5764  0.5764  0.5764
Bi  0.7633  0.7633  0.7633

Distance to the lowest polymorph of the same formula (eV/atom): 0.041


(4)
The following is a GGA-PBE calculation of SrPuBi after structural relaxation, from Alexandria via LeMat-Bulk.

Cell: 14.1907 14.1907 14.1907 Å, 15.99 15.99 15.99°
Fractional positions:
Sr  0.1243  0.1243  0.1243
Sr  0.8757  0.8757  0.8757
Pu  0.3433  0.3433  0.3433
Pu  0.6567  0.6567  0.6567
Bi  0.2698  0.2698  0.2698
Bi  0.7302  0.7302  0.7302

Distance to the lowest polymorph of the same formula (eV/atom): 0.457


(5)
The following is a GGA-PBE calculation of SrPuBi2 after structural relaxation, from Alexandria via LeMat-Bulk.

Cell: 3.8027 3.8027 8.8615 Å, 90.00 90.00 90.00°
Fractional positions:
Sr  0.0000  0.0000  0.0000
Pu  0.0000  0.0000  0.5000
Bi  0.5000  0.5000  0.2625
Bi  0.5000  0.5000  0.7375

Distance to the lowest polymorph of the same formula (eV/atom): 0.006


(6)
The following is a GGA-PBE calculation of Sr2PuBi3 after structural relaxation, from Alexandria via LeMat-Bulk.

Cell: 8.3376 8.3376 8.3376 Å, 147.64 133.11 58.13°
Fractional positions:
Sr  0.1752  0.1752  0.0000
Sr  0.8248  0.8248  0.0000
Pu  0.5000  0.5000  0.0000
Bi  0.0000  0.5000  0.5000
Bi  0.3524  0.8524  0.5000
Bi  0.6476  0.1476  0.5000


(7)
The following is a GGA-PBE calculation of SrPuBi2 after structural relaxation, from Alexandria via LeMat-Bulk.

Cell: 6.0523 6.0523 3.5085 Å, 90.00 90.00 90.00°
Fractional positions:
Sr  0.0000  0.0000  0.0000
Pu  0.5000  0.5000  0.0000
Bi  0.0000  0.5000  0.5000
Bi  0.5000  0.0000  0.5000

Distance to the lowest polymorph of the same formula (eV/atom): 0.017


(8)
The following is a GGA-PBE calculation of Sr5PuBi4 after structural relaxation, from Alexandria via LeMat-Bulk.

Cell: 11.1273 11.1273 9.0490 Å, 113.88 113.88 25.81°
Fractional positions:
Sr  0.0000  0.0000  0.0000
Sr  0.3342  0.3342  0.1008
Sr  0.3340  0.3340  0.5665
Sr  0.6660  0.6660  0.4335
Sr  0.6658  0.6658  0.8992
Pu  0.0000  0.0000  0.5000
Bi  0.2075  0.2075  0.7078
Bi  0.5002  0.5002  0.2574
Bi  0.4998  0.4998  0.7426
Bi  0.7925  0.7925  0.2922


| no. | energy of formation (kJ per mole of atoms) | V (A^3/atom) |
| --- | --- | --- |
| 1 | -50.32 | 36.48 |
| 2 | -33.84 | 31.38 |
| 3 | -46.32 | 37.10 |
| 4 | -6.60 | 31.49 |
| 5 | -49.73 | 32.04 |
| 6 | -53.32 | 37.45 |
| 7 | -48.72 | 32.13 |
| 8 | -62.62 | 44.38 |